Record 1
# NdSi4Ir6

A relaxed NdSi4Ir6 crystal (PBE-GGA, Alexandria).

Properties
Electronic total energy, eV per atom: -8.075
DOS(E_F), states/eV per cell: 2.83
Crystal system: hexagonal

a b c (Å): 7.0571 7.0571 3.8682
angles (deg): 90.00 90.00 120.00
Last column: nearest neighbours and their distance in Å.
Positions (direct):
Nd (0.0000, 0.0000, 0.0000)  6 Si 3.10, 6 Ir 3.11
Si (0.3333, 0.6667, 0.0000)  9 Ir 2.44-2.53
Si (0.3964, 0.1982, 0.5000)  6 Ir 2.43-2.54
Si (0.8018, 0.1982, 0.5000)  6 Ir 2.43-2.54
Si (0.8018, 0.6036, 0.5000)  6 Ir 2.43-2.54
Ir (0.1993, 0.3986, 0.5000)  4 Si 2.43-2.53
Ir (0.1993, 0.8007, 0.5000)  4 Si 2.43-2.53
Ir (0.5330, 0.0660, 0.0000)  5 Si 2.44-2.54
Ir (0.5330, 0.4670, 0.0000)  5 Si 2.44-2.54
Ir (0.6014, 0.8007, 0.5000)  4 Si 2.43-2.53
Ir (0.9340, 0.4670, 0.0000)  5 Si 2.44-2.54



Record 2
# Th2SnS

A relaxed Th2SnS crystal (PBE-GGA, Alexandria).

Properties
Offset from the most stable computed form, eV per atom: 0.202
DOS(E_F), states/eV per cell: 2.68
Crystal system: trigonal

a b c (Å): 8.1213 8.1213 8.1213
angles (deg): 29.47 29.47 29.47
Last column: nearest neighbours and their distance in Å.
Positions (direct):
Th (0.0000, 0.0000, 0.0000)  3 S 3.01, 3 Sn 3.11
Th (0.1609, 0.1609, 0.1609)  3 S 3.05, 3 Sn 3.12
Sn (0.5808, 0.5808, 0.5808)  6 Th 3.11-3.12
S (0.4123, 0.4123, 0.4123)  6 Th 3.01-3.05



Record 3
# BeAlPt

A relaxed BeAlPt crystal (PBE-GGA, Alexandria).

Properties
Offset from the most stable computed form, eV per atom: 0.349
DOS(E_F), states/eV per cell: 0.99
Crystal system: trigonal
Formation enthalpy at 0 K, meV/atom: -319.3

a b c (Å): 2.8386 2.8386 5.8420
angles (deg): 90.00 90.00 120.00
Last column: nearest neighbours and their distance in Å.
Positions (direct):
Be (0.0000, 0.0000, 0.0000)  3 Pt 2.40, 3 Al 2.57
Al (0.6667, 0.3333, 0.6614)  3 Be 2.57, 3 Pt 2.67, 6 Al 2.84
Pt (0.3333, 0.6667, 0.3008)  3 Be 2.40, 3 Al 2.67



Record 4
# LiPdSe2

A relaxed LiPdSe2 crystal (PBE-GGA, Alexandria).

Properties
Electronic total energy, eV per atom: -3.910
DOS(E_F), states/eV per cell: 5.42
Crystal system: tetragonal

a b c (Å): 7.5214 7.5214 7.5214
angles (deg): 138.02 138.02 60.87
Last column: nearest neighbours and their distance in Å.
Positions (direct):
Li (0.0000, 0.0000, 0.0000)  4 Se 2.56
Li (0.7500, 0.2500, 0.5000)  4 Se 2.56
Pd (0.2500, 0.7500, 0.5000)  4 Se 2.44
Pd (0.5000, 0.5000, 0.0000)  4 Se 2.44
Se (0.1460, 0.6250, 0.0210)  2 Pd 2.44, 2 Li 2.56
Se (0.3750, 0.3960, 0.5210)  2 Pd 2.44, 2 Li 2.56
Se (0.6040, 0.1250, 0.9790)  2 Pd 2.44, 2 Li 2.56
Se (0.8750, 0.8540, 0.4790)  2 Pd 2.44, 2 Li 2.56



Record 5
# RbCaCoCl5

A relaxed RbCaCoCl5 crystal (PBE-GGA, Alexandria).

Properties
Electronic total energy, eV per atom: -4.024
Crystal system: monoclinic

a b c (Å): 7.5825 7.5825 9.8737
angles (deg): 103.96 103.96 105.98
Last column: nearest neighbours and their distance in Å.
Positions (direct):
Rb (0.1568, 0.8432, 0.7500)  5 Cl 3.19-3.35
Rb (0.8432, 0.1568, 0.2500)  5 Cl 3.19-3.35
Ca (0.5000, 0.5000, 0.0000)  6 Cl 2.65-2.84
Ca (0.5000, 0.5000, 0.5000)  6 Cl 2.65-2.84
Co (0.1853, 0.8147, 0.2500)  4 Cl 2.27-2.28
Co (0.8147, 0.1853, 0.7500)  4 Cl 2.27-2.28
Cl (0.1072, 0.2545, 0.9222)  1 Co 2.28
Cl (0.1827, 0.6025, 0.3784)  1 Co 2.27
Cl (0.2545, 0.1072, 0.4222)  1 Co 2.28
Cl (0.3975, 0.8173, 0.1216)  1 Co 2.27
Cl (0.4203, 0.5797, 0.7500)  2 Ca 2.65
Cl (0.5797, 0.4203, 0.2500)  2 Ca 2.65
Cl (0.6025, 0.1827, 0.8784)  1 Co 2.27
Cl (0.7455, 0.8928, 0.5778)  1 Co 2.28
Cl (0.8173, 0.3975, 0.6216)  1 Co 2.27
Cl (0.8928, 0.7455, 0.0778)  1 Co 2.28



Record 6
# YHgI6

A relaxed YHgI6 crystal (PBE-GGA, Alexandria).

Properties
Electronic total energy, eV per atom: -2.668
DOS(E_F), states/eV per cell: 4.35
Crystal system: triclinic

a b c (Å): 7.4090 7.7265 7.8823
angles (deg): 111.61 94.85 115.94
Last column: nearest neighbours and their distance in Å.
Positions (direct):
Y (0.0000, 0.0000, 0.0000)  6 I 2.95-3.15
Hg (0.5000, 0.0000, 0.5000)  2 I 2.72
I (0.2125, 0.8057, 0.7645)  1 Y 2.95
I (0.2578, 0.1567, 0.4177)  1 Hg 2.72
I (0.2639, 0.4530, 0.0425)  1 Y 3.04
I (0.7361, 0.5470, 0.9575)  1 Y 3.04
I (0.7422, 0.8433, 0.5823)  1 Hg 2.72
I (0.7875, 0.1943, 0.2355)  1 Y 2.95



Record 7
# HoTmSiAg

A relaxed HoTmSiAg crystal (PBE-GGA, Alexandria).

Properties
Electronic total energy, eV per atom: -4.767
DOS(E_F), states/eV per cell: 3.23
Crystal system: cubic

a b c (Å): 5.0016 5.0016 5.0016
angles (deg): 60.00 60.00 60.00
Last column: nearest neighbours and their distance in Å.
Positions (direct):
Ho (0.0000, 0.0000, 0.0000)  4 Si 3.06, 4 Ag 3.06
Tm (0.5000, 0.5000, 0.5000)  4 Si 3.06, 4 Ag 3.06
Si (0.7500, 0.7500, 0.7500)  4 Ho 3.06, 4 Tm 3.06
Ag (0.2500, 0.2500, 0.2500)  4 Ho 3.06, 4 Tm 3.06



Record 8
# PrNdHoHg

A relaxed PrNdHoHg crystal (PBE-GGA, Alexandria).

Properties
Offset from the most stable computed form, eV per atom: 0.000
DOS(E_F), states/eV per cell: 4.63
Crystal system: tetragonal
Formation enthalpy at 0 K, meV/atom: -232.8

a b c (Å): 3.6949 3.6949 9.0176
angles (deg): 90.00 90.00 90.00
Last column: nearest neighbours and their distance in Å.
Positions (direct):
Pr (0.0000, 0.0000, 0.0000)  4 Ho 3.62, 4 Nd 3.69, 4 Pr 3.69
Nd (0.5000, 0.5000, 0.7109)  4 Hg 3.36, 4 Pr 3.69, 4 Nd 3.69
Ho (0.5000, 0.5000, 0.2776)  4 Hg 3.17
Hg (0.0000, 0.0000, 0.4764)  4 Ho 3.17, 4 Nd 3.36



Record 9
# YPuIn2

A relaxed YPuIn2 crystal (PBE-GGA, Alexandria).

Properties
DOS(E_F), states/eV per cell: 9.86
Crystal system: trigonal
Formation enthalpy at 0 K, meV/atom: -151.9

a b c (Å): 10.6238 10.6238 10.6238
angles (deg): 19.10 19.10 19.10
Last column: nearest neighbours and their distance in Å.
Positions (direct):
Y (0.0000, 0.0000, 0.0000)  6 In 3.27, 6 Y 3.53
Pu (0.5000, 0.5000, 0.5000)  6 In 3.34, 6 Pu 3.53
In (0.2515, 0.2515, 0.2515)  3 Y 3.27, 3 Pu 3.34, 6 In 3.53
In (0.7485, 0.7485, 0.7485)  3 Y 3.27, 3 Pu 3.34, 6 In 3.53



Record 10
# GeS2I

A relaxed GeS2I crystal (PBE-GGA, Alexandria).

Properties
Offset from the most stable computed form, eV per atom: 0.894
DOS(E_F), states/eV per cell: 3.34
Crystal system: cubic

a b c (Å): 4.9268 4.9268 4.9268
angles (deg): 60.00 60.00 60.00
Last column: nearest neighbours and their distance in Å.
Positions (direct):
Ge (0.0000, 0.0000, 0.0000)  8 S 3.02
S (0.2500, 0.2500, 0.2500)  4 Ge 3.02, 4 I 3.02
S (0.7500, 0.7500, 0.7500)  4 Ge 3.02, 4 I 3.02
I (0.5000, 0.5000, 0.5000)  8 S 3.02